The following is a PBE+U calculation of an optimized crystal structure of ZrCo2SiO, from Alexandria.

Structure (CIF):
```
data_ZrCo2SiO
_symmetry_space_group_name_H-M 'P 1'
_symmetry_Int_Tables_number 1
_symmetry_space_group_name_Hall 'P 1'
_cell_length_a 4.558
_cell_length_b 5.194
_cell_length_c 4.558
_cell_angle_alpha 90.00
_cell_angle_beta 90.00
_cell_angle_gamma 90.00
loop_
_atom_site_label
_atom_site_type_symbol
_atom_site_fract_x
_atom_site_fract_y
_atom_site_fract_z
Si1 Si 0.000 0.500 0.000
Co1 Co 0.000 0.000 0.500
Co2 Co 0.500 0.000 0.000
O1 O 0.500 0.500 0.500
Zr1 Zr 0.000 0.000 0.000
```

Values from the calculation:
SG: P4/mmm, No. 123
VASP energy, eV per atom: -3.97